Compound: ZrVRe
Source: the Alexandria database
Functional: GGA-PBE
Structure: optimized geometry

abc: 5.261 5.266 7.412
angles: 90.00 90.00 90.00
Space group Imma (No. 74)
Asymmetric unit:
Zr  0.000  0.250  0.124
V  0.000  0.000  0.500
Re  0.250  0.250  0.750

Size of the total moment, μB/f.u.: 0.00
Energy above the most stable polymorph in this dataset, eV/atom: 0.000
Energy, eV/atom: -10.406
Energy relative to the elements, kJ/mol of atoms: -36
Volume, Å³ per cell: 205.4

Compound: ZrVRe2
Source: the Alexandria database
Functional: GGA-PBE
Structure: optimized geometry

abc: 3.153 3.153 6.464
angles: 90.00 90.00 90.00
Space group P4/mmm (No. 123)
Asymmetric unit:
Zr  0.000  0.000  0.000
V  0.000  0.000  0.500
Re  0.500  0.500  0.274

Size of the total moment, μB/f.u.: 0.00
Energy, eV/atom: -10.858
Energy relative to the elements, kJ/mol of atoms: -21
Volume, Å³ per cell: 64.3

Compound: Zr2VRe2
Source: the Alexandria database
Functional: GGA-PBE
Structure: optimized geometry

abc: 6.435 6.435 4.514
angles: 90.00 90.00 90.00
Space group P4/mbm (No. 127)
Asymmetric unit:
Zr  0.178  0.322  0.000
V  0.000  0.000  0.500
Re  0.139  0.639  0.500

Size of the total moment, μB/f.u.: 0.00
Energy, eV/atom: -10.184
Energy relative to the elements, kJ/mol of atoms: 4
Volume, Å³ per cell: 186.9